## Na8SrLi2 (GGA-PBE)

Data for crystalline Na8SrLi2 at its relaxed geometry.

a = 7.2849 Å, b = 7.2849 Å, c = 10.9280 Å
α = 109.47°, β = 109.47°, γ = 90.00°
With the nearest neighbours (Å) after each atom.
Fractional coordinates of all 11 atoms:
1 Na 0.9037 0.9037 0.3002  2 Li 3.22, 2 Na 3.59
2 Na 0.0963 0.0963 0.6998  2 Li 3.22, 2 Na 3.59
3 Na 0.6035 0.6035 0.6998  2 Li 3.22, 2 Na 3.59
4 Na 0.6035 0.0963 0.6998  2 Li 3.22, 2 Na 3.59
5 Na 0.3965 0.3965 0.3002  2 Li 3.22, 2 Na 3.59
6 Na 0.3965 0.9037 0.3002  2 Li 3.22, 2 Na 3.59
7 Na 0.9037 0.3965 0.3002  2 Li 3.22, 2 Na 3.59
8 Na 0.0963 0.6035 0.6998  2 Li 3.22, 2 Na 3.59
9 Sr 0.5000 0.5000 0.0000  8 Na 3.90
10 Li 0.2500 0.7500 0.5000  8 Na 3.22
11 Li 0.7500 0.2500 0.5000  8 Na 3.22

Formation enthalpy at 0 K: 22.8 kJ/mol of atoms
E_tot: -13.5 eV/f.u.
Symmetry: I4/mmm, No. 139


## LaCo2As (GGA-PBE)

Data for crystalline LaCo2As at its relaxed geometry.

a = 5.5415 Å, b = 5.5415 Å, c = 5.5415 Å
α = 136.23°, β = 134.79°, γ = 64.75°
With the nearest neighbours (Å) after each atom.
Fractional coordinates of all 4 atoms:
1 As 0.2197 0.7197 0.5000  2 Co 2.28
2 Co 0.1159 0.1159 0.0000  2 Co 2.26, 2 As 2.28
3 Co 0.6978 0.1978 0.5000  2 Co 2.26
4 La 0.4666 0.4666 0.0000  9 Co 2.99-3.30, 4 As 3.10-3.19

Formation enthalpy at 0 K: -13.5 kJ/mol of atoms
E_tot: -24.3 eV/f.u.
Symmetry: Imm2, No. 44


## HgRh3 (GGA-PBE)

Data for crystalline HgRh3 at its relaxed geometry.

a = 5.2282 Å, b = 5.2282 Å, c = 5.2282 Å
α = 116.88°, β = 116.88°, γ = 116.88°
With the nearest neighbours (Å) after each atom.
Fractional coordinates of all 4 atoms:
1 Hg 0.0000 0.0000 0.0000  6 Rh 2.74, 2 Hg 2.80
2 Rh 0.5000 0.0000 0.5000  6 Rh 2.74-2.80, 2 Hg 2.74
3 Rh 0.0000 0.5000 0.5000  6 Rh 2.74-2.80, 2 Hg 2.74
4 Rh 0.5000 0.5000 0.0000  2 Hg 2.74, 6 Rh 2.74-2.80

Formation enthalpy at 0 K: 37.8 kJ/mol of atoms
E_tot: -20.8 eV/f.u.
Symmetry: R-3m, No. 166


## Si3Se (GGA-PBE)

Data for crystalline Si3Se at its relaxed geometry.

a = 5.7147 Å, b = 5.7147 Å, c = 5.7147 Å
α = 147.81°, β = 136.22°, γ = 55.37°
With the nearest neighbours (Å) after each atom.
Fractional coordinates of all 4 atoms:
1 Se 0.5000 0.0000 0.5000  4 Si 2.66
2 Si 0.2072 0.2072 0.0000  6 Si 2.63-2.79
3 Si 0.7928 0.7928 0.0000  6 Si 2.63-2.79
4 Si 0.0000 0.5000 0.5000  4 Si 2.63, 4 Se 2.66

E_tot: -17.8 eV/f.u.
Energy relative to the elements, uncorrected: 0.490 eV/atom
Symmetry: Immm, No. 71


What are the magnetic moment values for these records? In order: 0.0; 2.3; 1.5; 0.0 μB/cell.